Entry one
Material: FeCo2Rh
Method: DFT, meta-GGA SCAN
State: PBEsol geometry

The structure in POSCAR format:
```
FeCo2Rh
1.0
2.7942 0.0000 0.0000
0.0000 2.7942 0.0000
0.0000 0.0000 5.9502
Co Fe Rh
2 1 1
Cartesian
0.0000 0.0000 1.3548
0.0000 0.0000 4.5955
1.3971 1.3971 0.0000
1.3971 1.3971 2.9751
```

Properties
total magnetization: 1.9042 μB per atom

***

Entry two
Material: FeCo2Rh
Method: DFT, meta-GGA SCAN
State: PBEsol geometry

The structure in POSCAR format:
```
FeCo2Rh
1.0
3.5705 0.0000 0.0000
0.0000 3.5705 0.0000
-1.7852 -1.7852 3.5842
Fe Rh Co
1 1 2
Cartesian
0.0000 0.0000 0.0000
0.0000 1.7852 1.7921
1.7852 1.7852 0.0000
1.7852 0.0000 1.7921
```

Properties
total magnetization: 1.8551 μB per atom

***

Stability summary: most stable entry one, least stable entry two.

***

Entry one
Material: FeCoSb4
Method: DFT, meta-GGA SCAN
State: PBEsol geometry

The structure in POSCAR format:
```
FeCoSb4
1.0
-5.0230 -0.7630 -3.0782
-1.8809 -5.4818 -1.3040
-4.8215 -2.2023 2.6817
Fe Co Sb
1 1 4
Cartesian
0.0000 0.0000 0.0000
-8.7941 -6.3353 -1.2754
-6.9072 -3.5501 -2.1750
-6.8065 -4.2687 0.7010
-5.3382 -5.9063 -1.2891
-4.3990 -3.1691 -0.6380
```

Properties
total magnetization: 0.9516 μB per atom

***

Entry two
Material: FeCoSb4
Method: DFT, meta-GGA SCAN
State: PBEsol geometry

The structure in POSCAR format:
```
FeCoSb4
1.0
3.2177 0.0000 0.0000
0.0000 5.6703 -0.0010
0.0000 -0.0163 6.3857
Sb Co Fe
4 1 1
Cartesian
1.6089 3.9412 0.9253
0.0000 4.5507 4.1251
0.0000 1.1033 2.2596
1.6089 1.7128 5.4593
1.6089 2.8270 3.1923
0.0000 0.0000 0.0000
```

Properties
total magnetization: 0.1711 μB per atom

***

Stability summary: most stable entry two, least stable entry one.

***

Entry one
Material: FeCoSe2
Method: DFT, meta-GGA SCAN
State: PBEsol geometry

The structure in POSCAR format:
```
FeCoSe2
1.0
-0.0686 1.9750 -3.0237
-0.7927 -2.9589 -1.9147
-5.2158 0.9177 0.7178
Co Se Fe
1 2 1
Cartesian
-3.7554 -1.2756 -0.7480
-2.4443 -0.5280 -2.4471
-4.7043 0.4435 0.3964
-3.3932 1.1911 -1.3027
```

Properties
total magnetization: 0.1499 μB per atom

***

Entry two
Material: FeCoSe2
Method: DFT, meta-GGA SCAN
State: PBEsol geometry

The structure in POSCAR format:
```
FeCoSe2
1.0
-1.9050 -2.1705 1.3561
2.4791 -1.9849 0.3056
1.2169 2.3663 5.4967
Se Fe Co
2 1 1
Cartesian
1.0792 2.0984 4.8746
0.7316 -1.2133 2.8388
1.1865 -0.3288 4.8933
0.6192 1.2040 2.7969
```

Properties
total magnetization: 0.3205 μB per atom

***

Stability summary: most stable entry one, least stable entry two.

***

Entry one
Material: Fe2CoTc
Method: DFT, meta-GGA SCAN
State: PBEsol geometry

The structure in POSCAR format:
```
Fe2CoTc
1.0
-0.9776 -2.2994 0.3760
3.8501 -0.5654 -1.9375
1.2882 0.1304 4.1468
Tc Fe Co
1 2 1
Cartesian
3.9841 -1.6423 0.3152
2.6813 -0.7713 2.2547
0.0162 -0.0068 0.0006
1.4845 -1.9640 0.3385
```

Properties
total magnetization: 1.3716 μB per atom

***

Entry two
Material: Fe2CoTc
Method: DFT, meta-GGA SCAN
State: PBEsol geometry

The structure in POSCAR format:
```
Fe2CoTc
1.0
-1.6737 -0.4792 1.8798
-0.8554 -2.3856 0.3763
5.3161 -2.3547 5.8790
Fe Co Tc
2 1 1
Cartesian
0.6334 -1.2905 1.9810
2.1536 -3.9290 6.1540
0.0000 0.0000 0.0000
1.3935 -2.6098 4.0675
```

Properties
total magnetization: 1.6350 μB per atom

***

Stability summary: most stable entry two, least stable entry one.

***

Entry one
Material: FeCoTc2
Method: DFT, meta-GGA SCAN
State: PBEsol geometry

The structure in POSCAR format:
```
FeCoTc2
1.0
4.1446 0.0000 0.0000
2.0723 3.5893 0.0000
2.0723 1.1964 3.3841
Fe Tc Co
1 2 1
Cartesian
6.2169 3.5893 2.5380
2.0723 1.1964 0.8460
0.0000 0.0000 0.0000
4.1446 2.3929 1.6920
```

Properties
total magnetization: 1.4120 μB per atom

***

Entry two
Material: FeCoTc2
Method: DFT, meta-GGA SCAN
State: PBEsol geometry

The structure in POSCAR format:
```
FeCoTc2
1.0
-0.2890 -1.3744 -2.1477
2.8029 -2.4953 1.2197
-3.1280 -1.9453 3.2083
Tc Fe Co
2 1 1
Cartesian
0.2723 -2.7972 0.0347
-2.9992 -1.9140 2.9765
-1.0948 -3.3280 2.0903
-1.6287 -1.3811 0.9174
```

Properties
total magnetization: 0.4730 μB per atom

***

Stability summary: most stable entry one, least stable entry two.

***

Entry one
Material: TlFeCo2
Method: DFT, meta-GGA SCAN
State: PBEsol geometry

The structure in POSCAR format:
```
TlFeCo2
1.0
-2.3838 0.0390 -1.7157
1.4735 -1.4589 -2.0804
-1.8375 -5.3240 2.4319
Co Tl Fe
2 1 1
Cartesian
-0.5365 -1.5546 0.7101
-1.3010 -3.7694 1.7218
-0.4552 -0.7099 -1.8981
-1.3739 -3.3719 -0.6821
```

Properties
total magnetization: 1.4570 μB per atom

***

Entry two
Material: TlFeCo2
Method: DFT, meta-GGA SCAN
State: PBEsol geometry

The structure in POSCAR format:
```
TlFeCo2
1.0
3.6999 0.0000 0.0000
0.0000 3.6999 0.0000
-1.8500 -1.8500 3.8393
Tl Co Fe
1 2 1
Cartesian
0.0000 1.8500 1.9196
0.0000 0.0000 0.0000
1.8500 0.0000 1.9196
1.8500 1.8500 0.0000
```

Properties
total magnetization: 1.6122 μB per atom

***

Stability summary: most stable entry one, least stable entry two.

***

Entry one
Material: Tl2FeCo
Method: DFT, meta-GGA SCAN
State: PBEsol geometry

The structure in POSCAR format:
```
Tl2FeCo
1.0
-1.6242 -0.5430 2.4620
-0.7444 -4.1160 -1.3989
5.6297 0.6598 2.0328
Fe Tl Co
1 2 1
Cartesian
1.3309 -2.6969 0.2832
1.6949 -1.2126 2.6772
3.2593 -3.9991 3.0947
-0.9471 -2.4195 0.6682
```

Properties
total magnetization: 1.1386 μB per atom

***

Entry two
Material: Tl2FeCo
Method: DFT, meta-GGA SCAN
State: PBEsol geometry

The structure in POSCAR format:
```
Tl2FeCo
1.0
3.8734 0.0000 0.0000
0.0000 3.8734 0.0000
-1.9367 -1.9367 4.4520
Tl Co Fe
2 1 1
Cartesian
1.9367 0.0000 2.2260
0.0000 0.0000 0.0000
1.9367 1.9367 0.0000
0.0000 1.9367 2.2260
```

Properties
total magnetization: 1.0417 μB per atom

***

Entry three
Material: Tl2FeCo
Method: DFT, meta-GGA SCAN
State: PBEsol geometry

The structure in POSCAR format:
```
Tl2FeCo
1.0
3.1837 0.0000 0.0000
0.0000 4.5039 0.0000
0.0000 0.0000 4.5039
Tl Co Fe
2 1 1
Cartesian
0.0000 2.2520 0.0000
0.0000 0.0000 2.2520
1.5918 2.2520 2.2520
1.5918 0.0000 0.0000
```

Properties
total magnetization: 0.9488 μB per atom

***

Stability summary: most stable entry one, least stable entry three.

***

Entry one
Material: YFeCo2
Method: DFT, meta-GGA SCAN
State: PBEsol geometry

The structure in POSCAR format:
```
YFeCo2
1.0
3.1074 0.0000 0.0000
0.0000 4.2410 0.0000
-1.5537 -2.1205 4.3132
Fe Co Y
1 2 1
Cartesian
0.0000 0.0000 4.1321
1.5537 0.0000 2.1768
0.0000 0.0000 0.1560
0.0000 2.1205 2.1615
```

Properties
total magnetization: 1.3695 μB per atom

***

Entry two
Material: YFeCo2
Method: DFT, meta-GGA SCAN
State: PBEsol geometry

The structure in POSCAR format:
```
YFeCo2
1.0
-0.2297 -4.1298 -1.0892
3.2765 -2.6184 0.8388
-0.3766 -2.9935 3.0318
Co Y Fe
2 1 1
Cartesian
2.0026 -7.3063 2.0860
0.0000 0.0000 0.0000
0.6675 -2.4354 0.6953
1.3351 -4.8709 1.3907
```

Properties
total magnetization: 1.3554 μB per atom

***

Stability summary: most stable entry one, least stable entry two.

***

Entry one
Material: ZnFeCo3
Method: DFT, meta-GGA SCAN
State: PBEsol geometry

The structure in POSCAR format:
```
ZnFeCo3
1.0
4.1516 0.0000 0.0000
0.0000 4.1516 0.0000
0.0000 0.0000 4.1516
Co Zn Fe
3 1 1
Cartesian
0.0000 2.0758 0.0000
0.0000 0.0000 2.0758
2.0758 0.0000 0.0000
2.0758 2.0758 2.0758
0.0000 0.0000 0.0000
```

Properties
total magnetization: 1.5600 μB per atom

***

Entry two
Material: ZnFeCo3
Method: DFT, meta-GGA SCAN
State: PBEsol geometry

The structure in POSCAR format:
```
ZnFeCo3
1.0
-2.8029 2.7556 1.4422
-0.1543 -2.0622 3.6405
3.1063 2.3840 1.4821
Fe Zn Co
1 1 3
Cartesian
0.0746 1.5387 3.2824
0.0000 0.0000 0.0000
-1.4015 1.3778 0.7211
1.5532 1.1920 0.7411
-0.0771 -1.0311 1.8202
```

Properties
total magnetization: 1.6480 μB per atom

***

Stability summary: most stable entry one, least stable entry two.

***

Entry one
Material: Co3HIr
Method: DFT, meta-GGA SCAN
State: PBEsol geometry

The structure in POSCAR format:
```
Co3HIr
1.0
3.5967 0.0000 0.0000
0.0000 3.5967 0.0000
0.0000 0.0000 3.5967
Co H Ir
3 1 1
Cartesian
1.7983 0.0000 0.0000
0.0000 1.7983 0.0000
0.0000 0.0000 1.7983
0.0000 0.0000 0.0000
1.7983 1.7983 1.7983
```

Properties
total magnetization: 1.1140 μB per atom

***

Entry two
Material: Co3HIr
Method: DFT, meta-GGA SCAN
State: PBEsol geometry

The structure in POSCAR format:
```
Co3HIr
1.0
-2.7975 -2.7404 -2.2264
3.5144 -1.8883 -2.0917
0.3392 -3.0359 3.3106
Ir H Co
1 1 3
Cartesian
0.0000 0.0000 0.0000
0.5281 -3.8323 -0.5037
1.7572 -0.9441 -1.0459
0.1696 -1.5180 1.6553
-1.3987 -1.3702 -1.1132
```

Properties
total magnetization: 1.7269 μB per atom

***

Stability summary: most stable entry one, least stable entry two.

***

Entry one
Material: NbCo3H
Method: DFT, meta-GGA SCAN
State: PBEsol geometry

The structure in POSCAR format:
```
NbCo3H
1.0
4.1729 0.0000 0.0000
0.0000 5.1653 0.0000
0.0000 -2.5826 4.4733
Nb Co H
2 6 2
Cartesian
1.0432 0.0000 2.9822
3.1296 2.5826 1.4911
1.0432 3.8937 0.7342
3.1296 -1.3110 3.7391
1.0432 2.5826 3.0050
1.0432 1.2716 0.7342
3.1296 0.0000 1.4683
3.1296 1.3111 3.7391
0.0000 0.0000 0.0000
2.0864 0.0000 0.0000
```

Properties
total magnetization: 0.2630 μB per atom

***

Entry two
Material: NbCo3H
Method: DFT, meta-GGA SCAN
State: PBEsol geometry

The structure in POSCAR format:
```
NbCo3H
1.0
3.6349 0.0000 0.0000
0.0000 3.6349 0.0000
0.0000 0.0000 3.6349
H Co Nb
1 3 1
Cartesian
0.0000 0.0000 0.0000
0.0000 1.8174 0.0000
0.0000 0.0000 1.8174
1.8174 0.0000 0.0000
1.8174 1.8174 1.8174
```

Properties
total magnetization: 0.1819 μB per atom

***

Entry three
Material: NbCo3H
Method: DFT, meta-GGA SCAN
State: PBEsol geometry

The structure in POSCAR format:
```
NbCo3H
1.0
4.4111 0.0000 0.0000
0.0000 4.4111 0.0000
0.0000 0.0000 4.4111
Nb Co H
1 3 1
Cartesian
0.0000 0.0000 0.0000
0.0000 2.2056 0.0000
0.0000 0.0000 2.2056
2.2056 0.0000 0.0000
2.2056 2.2056 2.2056
```

Properties
total magnetization: 0.5978 μB per atom

***

Stability summary: most stable entry one, least stable entry three.

***

Entry one
Material: Ta2CoH2
Method: DFT, meta-GGA SCAN
State: PBEsol geometry

The structure in POSCAR format:
```
Ta2CoH2
1.0
-1.2288 -2.4724 -0.8367
1.0452 0.3813 -2.6618
5.0737 -1.9475 3.2766
H Co Ta
2 1 2
Cartesian
1.8765 -2.7327 0.3453
3.0135 -1.3058 -0.5672
0.0000 0.0000 0.0000
3.5984 -2.1619 1.1032
1.2915 -1.8766 -1.3251
```

Properties
total magnetization: 0.3373 μB per atom

***

Entry two
Material: Ta2CoH2
Method: DFT, meta-GGA SCAN
State: PBEsol geometry

The structure in POSCAR format:
```
Ta2CoH2
1.0
-0.9755 -1.9674 1.7079
-2.1511 -2.9851 -4.6676
5.1336 -2.9573 -0.4745
H Co Ta
4 2 4
Cartesian
1.6942 -1.4820 -0.7395
1.2882 -4.4605 -4.4026
3.7008 -3.7381 -2.1924
-0.7183 -2.2043 -2.9497
1.4912 -2.9712 -2.5710
0.0000 0.0000 0.0000
-0.5717 -4.4520 -3.1894
2.3498 -5.4383 -2.6568
-0.3429 -2.4716 -0.7774
2.5787 -3.4579 -0.2448
```

Properties
total magnetization: 0.0005 μB per atom

***

Stability summary: most stable entry one, least stable entry two.

***

Entry one
Material: Hf2CoP
Method: DFT, meta-GGA SCAN
State: PBEsol geometry

The structure in POSCAR format:
```
Hf2CoP
1.0
-2.3027 -4.5550 -2.3172
2.1091 -0.4886 5.1704
-4.1605 3.7324 0.4244
Hf Co P
4 2 2
Cartesian
1.0051 -0.8349 3.0106
-2.3290 -2.5572 2.6855
-2.0735 -0.0151 1.3054
-5.3108 0.7845 -0.4463
-1.0741 0.3609 3.5107
0.0000 0.0000 0.0000
-3.2800 -1.6723 -0.2331
-0.0968 -2.5218 1.4266
```

Properties
total magnetization: 0.0000 μB per atom

***

Entry two
Material: Hf2CoP
Method: DFT, meta-GGA SCAN
State: PBEsol geometry

The structure in POSCAR format:
```
Hf2CoP
1.0
3.5527 0.0000 0.0000
0.0000 5.1321 -0.0100
0.0000 -2.4556 6.8632
Hf P Co
4 2 2
Cartesian
2.6646 2.5793 3.8682
0.8882 0.0972 2.9849
0.8882 1.3681 6.3000
2.6646 1.3084 0.5532
0.8882 -1.2226 5.4153
2.6646 3.8991 1.4379
0.8882 2.5864 1.9888
2.6646 0.0901 4.8644
```

Properties
total magnetization: 0.0000 μB per atom

***

Stability summary: most stable entry two, least stable entry one.